(1)
Density functional theory data (PBE) for an optimized crystal structure of Sc2RuW.

Results
Energy relative to the lowest polymorph listed for this composition: 277 meV/atom
N(E_F): 6.96 states/eV/cell
Size of the total moment: 1.0 μB per formula unit
Theoretical density: 8.87 g/cm³
SG: No. 225
Volume: 17.5 Å³/atom

Cell: 4.630 4.630 4.630 Å, 60.00 60.00 60.00°
Element x y z (fractional)
Sc: 0.250 0.250 0.250
Sc: 0.750 0.750 0.750
Ru: 0.000 0.000 0.000
W: 0.500 0.500 0.500


(2)
Density functional theory data (PBE) for an optimized crystal structure of Sc2RuW.

Results
Energy relative to the lowest polymorph listed for this composition: 241 meV/atom
N(E_F): 5.55 states/eV/cell
Size of the total moment: 0.3 μB per formula unit
Theoretical density: 8.77 g/cm³
SG: No. 166
Volume: 17.7 Å³/atom

Cell: 9.040 9.040 9.040 Å, 19.36 19.36 19.36°
Element x y z (fractional)
Sc: 0.244 0.244 0.244
Sc: 0.756 0.756 0.756
Ru: 0.500 0.500 0.500
W: 0.000 0.000 0.000


(3)
Density functional theory data (PBE) for an optimized crystal structure of Sc2RuW.

Results
Energy relative to the lowest polymorph listed for this composition: 113 meV/atom
N(E_F): 2.81 states/eV/cell
Size of the total moment: 0.0 μB per formula unit
Theoretical density: 8.92 g/cm³
SG: No. 65
Volume: 17.4 Å³/atom

Cell: 2.912 2.912 8.771 Å, 90.00 90.00 110.17°
Element x y z (fractional)
Sc: 0.000 0.000 0.231
Sc: 0.000 0.000 0.769
Ru: 0.500 0.500 0.000
W: 0.500 0.500 0.500


(4)
Density functional theory data (PBE) for an optimized crystal structure of ScRu2W.

Results
N(E_F): 6.30 states/eV/cell
Size of the total moment: 1.3 μB per formula unit
DFT total energy: -37.198 eV per cell
Theoretical density: 11.40 g/cm³
SG: No. 216
Volume: 15.7 Å³/atom

Cell: 4.460 4.460 4.460 Å, 60.00 60.00 60.00°
Element x y z (fractional)
Sc: 0.000 0.000 0.000
Ru: 0.500 0.500 0.500
Ru: 0.750 0.750 0.750
W: 0.250 0.250 0.250